--- 1 ---
VASP calculation (PBE-GGA) on a relaxed structure of Sc4SbRh.

The space group is F-43m (No. 216) and the conventional cell measures 8.0050, 8.0050 and 8.0050 Å, with angles of 90.00, 90.00 and 90.00 degrees. Symmetry generates all atoms from Sc at (0.1246, 0.1246, 0.1246), Sb at (0.0000, 0.0000, 0.5000) and Rh at (0.2500, 0.2500, 0.7500).


--- 2 ---
VASP calculation (PBE-GGA) on a relaxed structure of Sc4SbRh.

The space group is P2_1/m (No. 11) and the conventional cell measures 5.2023, 6.1394 and 8.1135 Å, with angles of 90.00, 99.54 and 90.00 degrees. Symmetry generates all atoms from Sc at (0.1432, 0.2500, 0.0535), Sc at (0.2160, 0.7500, 0.3517), Sc at (0.3165, 0.5110, 0.7447), Sb at (0.2244, 0.2500, 0.4221) and Rh at (0.3627, 0.7500, 0.0404).


Relative energy of each structure, in kJ/mol of atoms: 1 73.8; 2 0.0.


--- 1 ---
VASP calculation (PBE-GGA) on a relaxed structure of Sb3RhSe.

The space group is Pm-3m (No. 221) and the conventional cell measures 5.1488, 5.1488 and 5.1488 Å, with angles of 90.00, 90.00 and 90.00 degrees. Symmetry generates all atoms from Sb at (0.0000, 0.0000, 0.5000), Rh at (0.0000, 0.0000, 0.0000) and Se at (0.5000, 0.5000, 0.5000).


--- 2 ---
VASP calculation (PBE-GGA) on a relaxed structure of Sb3RhSe.

The space group is Pm-3m (No. 221) and the conventional cell measures 5.2648, 5.2648 and 5.2648 Å, with angles of 90.00, 90.00 and 90.00 degrees. Symmetry generates all atoms from Sb at (0.0000, 0.0000, 0.5000), Rh at (0.5000, 0.5000, 0.5000) and Se at (0.0000, 0.0000, 0.0000).


Relative energy of each structure, in kJ/mol of atoms: 1 0.0; 2 70.7.